# 1
VASP calculation (PBE-GGA) on crystalline BaSrTlBr at its relaxed geometry.

abc: 5.985 5.985 5.985
angles: 60.00 60.00 60.00
Site moments in Bohr magnetons follow the coordinates.
Element x y z (fractional)
Sr1 0.500 0.500 0.500  0.09
Tl1 0.750 0.750 0.750  0.28
Ba1 0.000 0.000 0.000  0.13
Br1 0.250 0.250 0.250  0.06

# 2
VASP calculation (PBE-GGA) on crystalline CoCu2Os at its relaxed geometry.

abc: 4.419 4.419 4.419
angles: 130.17 130.17 73.13
Site moments in Bohr magnetons follow the coordinates.
Element x y z (fractional)
Cu1 0.250 0.750 0.500  0.06
Co1 0.750 0.250 0.500  1.27
Os1 0.500 0.500 0.000  0.53
Cu2 0.000 0.000 0.000  0.05

## Properties
Energy relative to the lowest polymorph listed for this composition, meV/atom: 171
E_form, eV per atom: 0.34

# 3
VASP calculation (PBE-GGA) on crystalline PuMgCdIn at its relaxed geometry.

abc: 5.186 5.186 5.186
angles: 60.00 60.00 60.00
Site moments in Bohr magnetons follow the coordinates.
Element x y z (fractional)
Cd1 0.750 0.750 0.750  0.02
Mg1 0.500 0.500 0.500  -0.01
Pu1 0.000 0.000 0.000  5.40
In1 0.250 0.250 0.250  0.01

## Properties
E_form, eV per atom: -0.12

# 4
VASP calculation (PBE-GGA) on crystalline Sr3H2 at its relaxed geometry.

abc: 7.214 7.239 7.254
angles: 60.07 80.56 70.81
Site moments in Bohr magnetons follow the coordinates.
Element x y z (fractional)
Sr1 0.369 0.059 0.833  0.12
Sr2 0.888 0.541 0.817  0.11
Sr3 0.371 0.712 0.478  0.11
H1 0.501 0.003 0.162  0.01
H2 0.002 0.837 0.495  0.01
Sr4 0.869 0.892 0.167  0.12
H3 0.001 0.165 0.838  0.01
Sr5 0.388 0.358 0.183  0.11
Sr6 0.871 0.189 0.522  0.11
H4 0.502 0.331 0.505  0.01

## Properties
Energy relative to the lowest polymorph listed for this composition, meV/atom: 0

# 5
VASP calculation (PBE-GGA) on crystalline GeRh at its relaxed geometry.

abc: 9.520 9.520 3.054
angles: 90.00 90.00 120.00
Element x y z (fractional)
Ge1 0.357 0.295 0.250
Rh1 0.649 0.514 0.250
Rh2 0.351 0.486 0.750
Rh3 0.864 0.351 0.250
Ge2 0.937 0.643 0.250
Rh4 0.486 0.136 0.250
Rh5 0.514 0.864 0.750
Ge3 0.295 0.937 0.750
Ge4 0.643 0.705 0.750
Ge5 0.705 0.063 0.250
Ge6 0.063 0.357 0.750
Rh6 0.136 0.649 0.750

## Properties
E_form, eV per atom: -0.14

# 6
VASP calculation (PBE-GGA) on crystalline Sr2BrF3 at its relaxed geometry.

abc: 4.079 7.732 9.335
angles: 113.61 90.00 105.29
Element x y z (fractional)
Sr1 0.170 0.340 0.604
F1 0.372 0.744 0.296
Br1 0.869 0.737 0.920
Br2 0.131 0.263 0.080
F2 0.018 0.036 0.358
F3 0.673 0.345 0.430
F4 0.327 0.655 0.570
F5 0.628 0.256 0.704
F6 0.982 0.964 0.642
Sr2 0.830 0.660 0.396
Sr3 0.496 0.992 0.786
Sr4 0.504 0.008 0.214

# 7
VASP calculation (PBE-GGA) on crystalline In2CO6 at its relaxed geometry.

abc: 5.056 5.056 13.251
angles: 90.00 90.00 90.00
Site moments in Bohr magnetons follow the coordinates.
Element x y z (fractional)
O1 0.263 0.263 0.673  0.41
O2 0.737 0.737 0.673  0.41
O3 0.763 0.237 0.827  0.41
C1 0.500 0.500 0.500  0.00
O4 0.737 0.737 0.327  0.41
O5 0.335 0.665 0.500  0.01
C2 0.000 0.000 0.000  0.00
O6 0.665 0.335 0.500  0.01
O7 0.263 0.263 0.327  0.41
In1 0.500 0.500 0.235  -0.03
O8 0.763 0.237 0.173  0.41
O9 0.165 0.165 0.000  0.01
In2 0.000 0.000 0.735  -0.03
In3 0.000 0.000 0.265  -0.03
In4 0.500 0.500 0.765  -0.03
O10 0.835 0.835 0.000  0.01
O11 0.237 0.763 0.173  0.41
O12 0.237 0.763 0.827  0.41

# 8
VASP calculation (PBE-GGA) on crystalline PmDy14Hf at its relaxed geometry.

abc: 7.044 7.044 9.923
angles: 90.00 90.00 90.00
Element x y z (fractional)
Dy1 0.119 0.369 0.755
Dy2 0.875 0.125 0.500
Dy3 0.375 0.625 0.500
Dy4 0.375 0.125 0.000
Dy5 0.631 0.369 0.245
Dy6 0.875 0.625 0.000
Hf1 0.875 0.125 0.000
Pm1 0.375 0.625 0.000
Dy7 0.631 0.369 0.755
Dy8 0.875 0.625 0.500
Dy9 0.631 0.881 0.755
Dy10 0.631 0.881 0.245
Dy11 0.119 0.369 0.245
Dy12 0.119 0.881 0.245
Dy13 0.375 0.125 0.500
Dy14 0.119 0.881 0.755

## Properties
E_form, eV per atom: 0.05

# 9
VASP calculation (PBE-GGA) on crystalline Zn2Ge2Se at its relaxed geometry.

abc: 8.204 8.204 2.835
angles: 90.00 90.00 90.00
Element x y z (fractional)
Se1 0.000 0.000 0.000
Ge1 0.183 0.317 0.000
Ge2 0.817 0.683 0.000
Se2 0.500 0.500 0.000
Zn1 0.382 0.118 0.500
Ge3 0.317 0.817 0.000
Ge4 0.683 0.183 0.000
Zn2 0.882 0.382 0.500
Zn3 0.118 0.618 0.500
Zn4 0.618 0.882 0.500

# 10
VASP calculation (PBE-GGA) on crystalline BiHO2 at its relaxed geometry.

abc: 3.953 3.953 3.953
angles: 60.00 60.00 60.00
Site moments in Bohr magnetons follow the coordinates.
Element x y z (fractional)
H1 0.000 0.000 0.000  0.22
O1 0.250 0.250 0.250  -0.09
O2 0.750 0.750 0.750  -0.09
Bi1 0.500 0.500 0.500  -0.03

## Properties
Energy relative to the lowest polymorph listed for this composition, meV/atom: 1039

# 11
VASP calculation (PBE-GGA) on crystalline CsDyAlTe4 at its relaxed geometry.

abc: 7.659 6.617 10.788
angles: 90.00 106.18 90.00
Element x y z (fractional)
Al1 0.737 0.250 0.661
Te1 0.431 0.750 0.583
Dy1 0.254 0.250 0.550
Cs1 0.236 0.250 0.050
Te2 0.569 0.250 0.417
Te3 0.014 0.509 0.697
Te4 0.986 0.491 0.303
Te5 0.457 0.750 0.181
Dy2 0.746 0.750 0.450
Te6 0.543 0.250 0.819
Cs2 0.764 0.750 0.950
Al2 0.263 0.750 0.339
Te7 0.014 0.991 0.697
Te8 0.986 0.009 0.303

# 12
VASP calculation (PBE-GGA) on crystalline In2OsPt at its relaxed geometry.

abc: 5.287 5.287 5.287
angles: 135.67 135.67 64.49
Element x y z (fractional)
Pt1 0.750 0.250 0.500
Os1 0.500 0.500 0.000
In1 0.000 0.000 0.000
In2 0.250 0.750 0.500

## Properties
E_form, eV per atom: 0.26

| no. | magnetization (μB/cell) | total energy (eV per atom) | calculated volume (Å³/cell) |
| --- | --- | --- | --- |
| 1 | 1.77 | -2.6671 | 151.56 |
| 2 | 1.89 | -6.2873 | 49.20 |
| 3 | 5.63 | -5.0108 | 98.65 |
| 4 | 3.82 | -2.5811 | 310.07 |
| 5 | 0.00 | -6.1211 | 239.74 |
| 6 | 0.00 | -5.2234 | 258.33 |
| 7 | 4.00 | -5.7101 | 338.77 |
| 8 | 0.00 | -4.8970 | 492.39 |
| 9 | 0.00 | -2.8765 | 190.82 |
| 10 | 0.22 | -4.4093 | 43.67 |
| 11 | 0.00 | -4.0348 | 525.11 |
| 12 | 0.00 | -5.4278 | 71.17 |